Entry 1:
Below is a relaxed PuHfC crystal, with properties calculated at the PBE level.

Energy in eV/atom: -11.44
Crystal system: monoclinic
Mass density in Mg/m³: 14.5
Total magnetization in μB per cell: 0.0
N(E_F) in states/eV/cell: 9.120

```
data_PuHfC
_space_group_name_H-M_alt 'P 1 21/m 1'
_space_group_IT_number 11
_cell_length_a 4.577
_cell_length_b 3.275
_cell_length_c 6.732
_cell_angle_alpha 90.00
_cell_angle_beta 98.79
_cell_angle_gamma 90.00
loop_
_space_group_symop_operation_xyz
'x,y,z'
'-x,-y,-z'
'-x,y+1/2,-z'
'x,-y+1/2,z'
loop_
_atom_site_label
_atom_site_type_symbol
_atom_site_fract_x
_atom_site_fract_y
_atom_site_fract_z
Pu1 Pu 0.118 0.250 0.108
Hf1 Hf 0.276 0.250 0.605
C1 C 0.226 0.750 0.370
```


Entry 2:
Below is a relaxed Rb2HfC2 crystal, with properties calculated at the PBE level.

Relative energy among the computed polymorphs in meV/atom: 3
Crystal system: tetragonal
Mass density in Mg/m³: 6.0
Total magnetization in μB per cell: 0.0
N(E_F) in states/eV/cell: 6.766

```
data_Rb2HfC2
_space_group_name_H-M_alt 'I 4/m m m'
_space_group_IT_number 139
_space_group_name_Hall '-I 4 2'
_cell_length_a 4.064
_cell_length_b 4.064
_cell_length_c 12.564
_cell_angle_alpha 90.00
_cell_angle_beta 90.00
_cell_angle_gamma 90.00
loop_
_atom_site_label
_atom_site_type_symbol
_atom_site_fract_x
_atom_site_fract_y
_atom_site_fract_z
Rb1 Rb 0.000 0.500 0.250
Hf1 Hf 0.000 0.000 0.000
C1 C 0.000 0.000 0.447
```


Entry 3:
Below is a relaxed RbHf3C crystal, with properties calculated at the PBE level.

Relative energy among the computed polymorphs in meV/atom: 2866
Crystal system: cubic
Mass density in Mg/m³: 8.5
Total magnetization in μB per cell: 0.0
N(E_F) in states/eV/cell: 6.981

```
data_RbHf3C
_space_group_name_H-M_alt 'P m -3 m'
_space_group_IT_number 221
_space_group_name_Hall '-P 4 2 3'
_cell_length_a 4.984
_cell_length_b 4.984
_cell_length_c 4.984
_cell_angle_alpha 90.00
_cell_angle_beta 90.00
_cell_angle_gamma 90.00
loop_
_atom_site_label
_atom_site_type_symbol
_atom_site_fract_x
_atom_site_fract_y
_atom_site_fract_z
Rb1 Rb 0.000 0.000 0.000
Hf1 Hf 0.000 0.000 0.500
C1 C 0.500 0.500 0.500
```


Entry 4:
Below is a relaxed Rb2HfC2 crystal, with properties calculated at the PBE level.

Relative energy among the computed polymorphs in meV/atom: 0
Crystal system: tetragonal
Mass density in Mg/m³: 5.2
Total magnetization in μB per cell: 0.9
N(E_F) in states/eV/cell: 6.041

```
data_Rb2HfC2
_space_group_name_H-M_alt 'P 4/m b m'
_space_group_IT_number 127
_space_group_name_Hall '-P 4 2ab'
_cell_length_a 6.458
_cell_length_b 6.458
_cell_length_c 5.762
_cell_angle_alpha 90.00
_cell_angle_beta 90.00
_cell_angle_gamma 90.00
loop_
_atom_site_label
_atom_site_type_symbol
_atom_site_fract_x
_atom_site_fract_y
_atom_site_fract_z
Rb1 Rb 0.165 0.335 0.000
Hf1 Hf 0.000 0.000 0.500
C1 C 0.229 0.729 0.500
```


Entry 5:
Below is a relaxed RbHf3C crystal, with properties calculated at the PBE level.

Relative energy among the computed polymorphs in meV/atom: 0
Crystal system: cubic
Mass density in Mg/m³: 9.9
Total magnetization in μB per cell: 0.0
N(E_F) in states/eV/cell: 7.483

```
data_RbHf3C
_space_group_name_H-M_alt 'P m -3 m'
_space_group_IT_number 221
_space_group_name_Hall '-P 4 2 3'
_cell_length_a 4.729
_cell_length_b 4.729
_cell_length_c 4.729
_cell_angle_alpha 90.00
_cell_angle_beta 90.00
_cell_angle_gamma 90.00
loop_
_atom_site_label
_atom_site_type_symbol
_atom_site_fract_x
_atom_site_fract_y
_atom_site_fract_z
Rb1 Rb 0.000 0.000 0.000
Hf1 Hf 0.000 0.500 0.500
C1 C 0.500 0.500 0.500
```


Entry 6:
Below is a relaxed RbHfSnC2 crystal, with properties calculated at the PBE level.

Energy in eV/atom: -3.30
Crystal system: tetragonal
Mass density in Mg/m³: 5.8
Total magnetization in μB per cell: 1.4
N(E_F) in states/eV/cell: 4.806

```
data_RbHfSnC2
_space_group_name_H-M_alt 'P 4/m m m'
_space_group_IT_number 123
_space_group_name_Hall '-P 4 2'
_cell_length_a 4.535
_cell_length_b 4.535
_cell_length_c 5.657
_cell_angle_alpha 90.00
_cell_angle_beta 90.00
_cell_angle_gamma 90.00
loop_
_atom_site_label
_atom_site_type_symbol
_atom_site_fract_x
_atom_site_fract_y
_atom_site_fract_z
Rb1 Rb 0.000 0.000 0.000
Hf1 Hf 0.000 0.000 0.500
Sn1 Sn 0.500 0.500 0.500
C1 C 0.000 0.500 0.000
```


Entry 7:
Below is a relaxed RbY2HfC crystal, with properties calculated at the PBE level.

Energy in eV/atom: -5.44
Crystal system: tetragonal
Mass density in Mg/m³: 4.8
Total magnetization in μB per cell: 0.0
N(E_F) in states/eV/cell: 5.747

```
data_RbY2HfC
_space_group_name_H-M_alt 'P 4/m m m'
_space_group_IT_number 123
_space_group_name_Hall '-P 4 2'
_cell_length_a 5.969
_cell_length_b 5.969
_cell_length_c 4.432
_cell_angle_alpha 90.00
_cell_angle_beta 90.00
_cell_angle_gamma 90.00
loop_
_atom_site_label
_atom_site_type_symbol
_atom_site_fract_x
_atom_site_fract_y
_atom_site_fract_z
Rb1 Rb 0.000 0.000 0.000
Y1 Y 0.000 0.500 0.500
Hf1 Hf 0.500 0.500 0.500
C1 C 0.500 0.500 0.000
```


Entry 8:
Below is a relaxed RbHfZn2C crystal, with properties calculated at the PBE level.

Energy in eV/atom: -3.72
Crystal system: tetragonal
Mass density in Mg/m³: 6.3
Total magnetization in μB per cell: 0.0
N(E_F) in states/eV/cell: 2.751

```
data_RbHfZn2C
_space_group_name_H-M_alt 'P 4/m m m'
_space_group_IT_number 123
_space_group_name_Hall '-P 4 2'
_cell_length_a 4.942
_cell_length_b 4.942
_cell_length_c 4.397
_cell_angle_alpha 90.00
_cell_angle_beta 90.00
_cell_angle_gamma 90.00
loop_
_atom_site_label
_atom_site_type_symbol
_atom_site_fract_x
_atom_site_fract_y
_atom_site_fract_z
Rb1 Rb 0.000 0.000 0.000
Hf1 Hf 0.500 0.500 0.000
Zn1 Zn 0.000 0.500 0.500
C1 C 0.500 0.500 0.500
```


Entry 9:
Below is a relaxed HfRe3C crystal, with properties calculated at the PBE level.

Relative energy among the computed polymorphs in meV/atom: 0
Crystal system: cubic
Mass density in Mg/m³: 17.3
Total magnetization in μB per cell: 0.0
N(E_F) in states/eV/cell: 8.476

```
data_HfRe3C
_space_group_name_H-M_alt 'P m -3 m'
_space_group_IT_number 221
_space_group_name_Hall '-P 4 2 3'
_cell_length_a 4.160
_cell_length_b 4.160
_cell_length_c 4.160
_cell_angle_alpha 90.00
_cell_angle_beta 90.00
_cell_angle_gamma 90.00
loop_
_atom_site_label
_atom_site_type_symbol
_atom_site_fract_x
_atom_site_fract_y
_atom_site_fract_z
Hf1 Hf 0.000 0.000 0.000
Re1 Re 0.000 0.500 0.500
C1 C 0.500 0.500 0.500
```


Entry 10:
Below is a relaxed Hf2Re2C crystal, with properties calculated at the PBE level.

Relative energy among the computed polymorphs in meV/atom: 0
Crystal system: tetragonal
Mass density in Mg/m³: 14.4
Total magnetization in μB per cell: 0.0
N(E_F) in states/eV/cell: 5.953

```
data_Hf2Re2C
_space_group_name_H-M_alt 'P 4/m b m'
_space_group_IT_number 127
_space_group_name_Hall '-P 4 2ab'
_cell_length_a 6.087
_cell_length_b 6.087
_cell_length_c 4.627
_cell_angle_alpha 90.00
_cell_angle_beta 90.00
_cell_angle_gamma 90.00
loop_
_atom_site_label
_atom_site_type_symbol
_atom_site_fract_x
_atom_site_fract_y
_atom_site_fract_z
Hf1 Hf 0.175 0.325 0.000
Re1 Re 0.138 0.638 0.500
C1 C 0.000 0.000 0.000
```


Entry 11:
Below is a relaxed Hf3ReC crystal, with properties calculated at the PBE level.

Relative energy among the computed polymorphs in meV/atom: 0
Crystal system: cubic
Mass density in Mg/m³: 14.0
Total magnetization in μB per cell: 0.0
N(E_F) in states/eV/cell: 3.135

```
data_Hf3ReC
_space_group_name_H-M_alt 'P m -3 m'
_space_group_IT_number 221
_space_group_name_Hall '-P 4 2 3'
_cell_length_a 4.430
_cell_length_b 4.430
_cell_length_c 4.430
_cell_angle_alpha 90.00
_cell_angle_beta 90.00
_cell_angle_gamma 90.00
loop_
_atom_site_label
_atom_site_type_symbol
_atom_site_fract_x
_atom_site_fract_y
_atom_site_fract_z
Hf1 Hf 0.000 0.000 0.500
Re1 Re 0.500 0.500 0.500
C1 C 0.000 0.000 0.000
```


Entry 12:
Below is a relaxed HfRe3C crystal, with properties calculated at the PBE level.

Relative energy among the computed polymorphs in meV/atom: 3953
Crystal system: cubic
Mass density in Mg/m³: 11.4
Total magnetization in μB per cell: 1.3
N(E_F) in states/eV/cell: 7.633

```
data_HfRe3C
_space_group_name_H-M_alt 'P m -3 m'
_space_group_IT_number 221
_space_group_name_Hall '-P 4 2 3'
_cell_length_a 4.784
_cell_length_b 4.784
_cell_length_c 4.784
_cell_angle_alpha 90.00
_cell_angle_beta 90.00
_cell_angle_gamma 90.00
loop_
_atom_site_label
_atom_site_type_symbol
_atom_site_fract_x
_atom_site_fract_y
_atom_site_fract_z
Hf1 Hf 0.000 0.000 0.000
Re1 Re 0.000 0.000 0.500
C1 C 0.500 0.500 0.500
```